Below is Li2VBiO6 after structural relaxation, with properties calculated at the GGA+U level.

Values from the calculation:
- Energy: -6.02 eV per atom

```
data_Li2VBiO6
_cell_length_a 5.2131
_cell_length_b 5.2131
_cell_length_c 13.8623
_cell_angle_alpha 90.00
_cell_angle_beta 90.00
_cell_angle_gamma 120.00
_symmetry_space_group_name_H-M 'R 3'
_symmetry_Int_Tables_number 146
_symmetry_space_group_name_Hall 'R 3'
loop_
_atom_site_label
_atom_site_type_symbol
_atom_site_fract_x
_atom_site_fract_y
_atom_site_fract_z
Li1 Li 0.0000 0.0000 0.0000
Li2 Li 0.0000 0.0000 0.4902
V1 V 0.0000 0.0000 0.2096
Bi1 Bi 0.0000 0.0000 0.7109
O1 O 0.0010 0.7128 0.1098
O2 O 0.0110 0.3768 0.9364
```